No. 1
An optimized crystal structure of Er2MnGePt6. Source: Alexandria, functional PBE.

## Properties
Density of states at the Fermi level: 3.4 states/eV/cell
Size of the total moment: 4.0 μB/cell
Energy relative to the elements: -0.74 eV per atom

Geometry as CIF:
```
data_Er2MnGePt6
_space_group_name_H-M_alt 'P 1'
_space_group_IT_number 1
_cell_length_a 8.3751
_cell_length_b 8.3751
_cell_length_c 8.3751
_cell_angle_alpha 38.71
_cell_angle_beta 38.71
_cell_angle_gamma 38.71
loop_
_space_group_symop_operation_xyz
'x,y,z'
loop_
_atom_site_label
_atom_site_type_symbol
_atom_site_fract_x
_atom_site_fract_y
_atom_site_fract_z
_atom_site_occupancy
Er1 Er 0.2008 0.2008 0.2008 1
Er2 Er 0.7992 0.7992 0.7992 1
Mn1 Mn 0.5000 0.5000 0.5000 1
Ge1 Ge 0.0000 0.0000 0.0000 1
Pt1 Pt 0.2507 0.2507 0.7483 1
Pt2 Pt 0.2507 0.7483 0.2507 1
Pt3 Pt 0.2517 0.7493 0.7493 1
Pt4 Pt 0.7483 0.2507 0.2507 1
Pt5 Pt 0.7493 0.2517 0.7493 1
Pt6 Pt 0.7493 0.7493 0.2517 1
```

=====

No. 2
An optimized crystal structure of CaTlTe2. Source: Alexandria, functional PBE.

## Properties
Density of states at the Fermi level: 3.0 states/eV/cell
Size of the total moment: 0.0 μB/cell
ΔE_f (raw): -2.85 eV/f.u.

Geometry as CIF:
```
data_CaTlTe2
_space_group_name_H-M_alt 'P 1'
_space_group_IT_number 1
_cell_length_a 5.4752
_cell_length_b 5.4752
_cell_length_c 4.1053
_cell_angle_alpha 90.00
_cell_angle_beta 90.00
_cell_angle_gamma 90.00
loop_
_space_group_symop_operation_xyz
'x,y,z'
loop_
_atom_site_label
_atom_site_type_symbol
_atom_site_fract_x
_atom_site_fract_y
_atom_site_fract_z
_atom_site_occupancy
Ca1 Ca 0.0000 0.0000 0.0000 1
Tl1 Tl 0.5000 0.5000 0.0000 1
Te1 Te 0.0000 0.5000 0.5000 1
Te2 Te 0.5000 0.0000 0.5000 1
```

=====

No. 3
An optimized crystal structure of BiHRh. Source: Alexandria, functional PBE.

## Properties
Density of states at the Fermi level: 3.7 states/eV/cell
Energy above the lowest structure with this stoichiometry: 0.2 kJ/mol of atoms
Size of the total moment: 0.0 μB/cell

Geometry as CIF:
```
data_BiHRh
_space_group_name_H-M_alt 'P 1'
_space_group_IT_number 1
_cell_length_a 3.3300
_cell_length_b 3.3300
_cell_length_c 8.4717
_cell_angle_alpha 90.13
_cell_angle_beta 90.13
_cell_angle_gamma 90.03
loop_
_space_group_symop_operation_xyz
'x,y,z'
loop_
_atom_site_label
_atom_site_type_symbol
_atom_site_fract_x
_atom_site_fract_y
_atom_site_fract_z
_atom_site_occupancy
Bi1 Bi 0.2477 0.2477 0.1873 1
Bi2 Bi 0.7523 0.7523 0.8127 1
H1 H 0.2503 0.7497 0.5000 1
H2 H 0.7497 0.2503 0.5000 1
Rh1 Rh 0.2506 0.2506 0.6169 1
Rh2 Rh 0.7494 0.7494 0.3831 1
```

=====

No. 4
An optimized crystal structure of MnBiSe2I. Source: Alexandria, functional PBE.

## Properties
Size of the total moment: 10.0 μB/cell
ΔE_f (raw): -1.98 eV/f.u.

Geometry as CIF:
```
data_MnBiSe2I
_space_group_name_H-M_alt 'P 1'
_space_group_IT_number 1
_cell_length_a 7.0747
_cell_length_b 7.0747
_cell_length_c 10.1796
_cell_angle_alpha 91.71
_cell_angle_beta 91.71
_cell_angle_gamma 33.96
loop_
_space_group_symop_operation_xyz
'x,y,z'
loop_
_atom_site_label
_atom_site_type_symbol
_atom_site_fract_x
_atom_site_fract_y
_atom_site_fract_z
_atom_site_occupancy
Mn1 Mn 0.0000 0.0000 0.0000 1
Mn2 Mn 0.0000 0.0000 0.5000 1
Bi1 Bi 0.2894 0.2894 0.6881 1
Bi2 Bi 0.7106 0.7106 0.3119 1
Se1 Se 0.0700 0.0700 0.2582 1
Se2 Se 0.3650 0.3650 0.4413 1
Se3 Se 0.6350 0.6350 0.5587 1
Se4 Se 0.9300 0.9300 0.7418 1
I1 I 0.3652 0.3652 0.0681 1
I2 I 0.6348 0.6348 0.9319 1
```

=====

Number 1: calculated total energy -6.66 eV/atom. Number 2: calculated total energy -3.38 eV/atom. Number 3: calculated total energy -4.92 eV/atom. Number 4: calculated total energy -4.71 eV/atom.